Record 1
# AcPm3S4

A relaxed AcPm3S4 crystal (PBE, the Alexandria database).

The total energy comes out at -50.710 eV/cell. Its energy relative to the elements, uncorrected is -1.980 eV/atom. The calculation puts the density of states at the Fermi level at 4.7 states/eV/f.u.

a b c (Å): 5.8177 5.8177 5.8177
angles (deg): 90.00 90.00 90.00
With the nearest neighbours (Å) after each atom.
Positions (direct):
Ac: 0.0000 0.0000 0.0000  6 S 2.91
Pm: 0.0000 0.5000 0.5000  6 S 2.91
Pm: 0.5000 0.0000 0.5000  6 S 2.91
Pm: 0.5000 0.5000 0.0000  6 S 2.91
S: 0.0000 0.0000 0.5000  2 Ac 2.91, 4 Pm 2.91
S: 0.0000 0.5000 0.0000  2 Ac 2.91, 4 Pm 2.91
S: 0.5000 0.0000 0.0000  2 Ac 2.91, 4 Pm 2.91
S: 0.5000 0.5000 0.5000  6 Pm 2.91

Record 2
# AcPm6S8

A relaxed AcPm6S8 crystal (PBE, the Alexandria database).

The total energy comes out at -95.882 eV/cell. Its energy relative to the elements, uncorrected is -2.017 eV/atom. The calculation puts the density of states at the Fermi level at 7.1 states/eV/f.u.

a b c (Å): 8.1053 8.1053 8.1053
angles (deg): 60.00 60.00 60.00
With the nearest neighbours (Å) after each atom.
Positions (direct):
Ac: 0.0000 0.0000 0.0000  6 S 2.97
Pm: 0.0000 0.0000 0.5000  6 S 2.87
Pm: 0.0000 0.5000 0.0000  6 S 2.87
Pm: 0.0000 0.5000 0.5000  6 S 2.87
Pm: 0.5000 0.0000 0.0000  6 S 2.87
Pm: 0.5000 0.0000 0.5000  6 S 2.87
Pm: 0.5000 0.5000 0.0000  6 S 2.87
S: 0.2500 0.2500 0.2500  6 Pm 2.87
S: 0.2588 0.2588 0.7412  4 Pm 2.87, 1 Ac 2.97
S: 0.2588 0.7412 0.2588  4 Pm 2.87, 1 Ac 2.97
S: 0.2588 0.7412 0.7412  4 Pm 2.87, 1 Ac 2.97
S: 0.7412 0.2588 0.2588  4 Pm 2.87, 1 Ac 2.97
S: 0.7412 0.2588 0.7412  4 Pm 2.87, 1 Ac 2.97
S: 0.7412 0.7412 0.2588  4 Pm 2.87, 1 Ac 2.97
S: 0.7500 0.7500 0.7500  6 Pm 2.87

Record 3
# AcPm2S5

A relaxed AcPm2S5 crystal (PBE, the Alexandria database).

The total energy comes out at -98.312 eV/cell. Its energy relative to the elements, uncorrected is -1.864 eV/atom. The calculation puts the density of states at the Fermi level at 6.0 states/eV/f.u.

a b c (Å): 8.4311 8.4311 8.4311
angles (deg): 126.40 126.40 79.24
With the nearest neighbours (Å) after each atom.
Positions (direct):
Ac: 0.2500 0.2500 0.0000  10 S 3.21-3.25
Ac: 0.7500 0.7500 0.0000  10 S 3.21-3.25
Pm: 0.1575 0.6575 0.8150  8 S 2.77-2.99
Pm: 0.3425 0.1575 0.5000  8 S 2.77-2.99
Pm: 0.6575 0.8425 0.5000  8 S 2.77-2.99
Pm: 0.8425 0.3425 0.1850  8 S 2.77-2.99
S: 0.0000 0.0000 0.0000  4 Pm 2.87
S: 0.0087 0.2067 0.5000  3 Pm 2.77-2.99
S: 0.2067 0.7067 0.1979  3 Pm 2.77-2.99
S: 0.2933 0.4913 0.5000  3 Pm 2.77-2.99
S: 0.4913 0.9913 0.1979  3 Pm 2.77-2.99
S: 0.5000 0.5000 0.0000  4 Pm 2.87
S: 0.5087 0.0087 0.8021  3 Pm 2.77-2.99
S: 0.7067 0.5087 0.5000  3 Pm 2.77-2.99
S: 0.7933 0.2933 0.8021  3 Pm 2.77-2.99
S: 0.9913 0.7933 0.5000  3 Pm 2.77-2.99

Record 4
# AcPmS3

A relaxed AcPmS3 crystal (PBE, the Alexandria database).

The total energy comes out at -127.652 eV/cell. Its energy relative to the elements, uncorrected is -2.134 eV/atom.

a b c (Å): 7.6606 4.2074 15.9448
angles (deg): 90.00 90.00 90.00
With the nearest neighbours (Å) after each atom.
Positions (direct):
Ac: 0.1454 0.2500 0.1992  8 S 2.96-3.29
Ac: 0.3546 0.7500 0.6992  8 S 2.96-3.29
Ac: 0.6454 0.2500 0.3008  8 S 2.96-3.29
Ac: 0.8546 0.7500 0.8008  8 S 2.96-3.29
Pm: 0.2306 0.7500 0.4556  7 S 2.85-3.05
Pm: 0.2694 0.2500 0.9556  7 S 2.85-3.05
Pm: 0.7306 0.7500 0.0444  7 S 2.85-3.05
Pm: 0.7694 0.2500 0.5444  7 S 2.85-3.05
S: 0.0133 0.2500 0.3956  3 Pm 2.85-3.02
S: 0.1279 0.7500 0.0590  3 Pm 2.88-3.05, 2 Ac 3.07
S: 0.1492 0.2500 0.7853  1 Pm 2.87, 4 Ac 2.96-3.10
S: 0.3508 0.7500 0.2853  1 Pm 2.87, 4 Ac 2.96-3.10
S: 0.3721 0.2500 0.5590  3 Pm 2.88-3.05, 2 Ac 3.07
S: 0.4867 0.7500 0.8956  3 Pm 2.85-3.02
S: 0.5133 0.2500 0.1044  3 Pm 2.85-3.02
S: 0.6279 0.7500 0.4410  3 Pm 2.88-3.05, 2 Ac 3.07
S: 0.6492 0.2500 0.7147  1 Pm 2.87, 4 Ac 2.96-3.10
S: 0.8508 0.7500 0.2147  1 Pm 2.87, 4 Ac 2.96-3.10
S: 0.8721 0.2500 0.9410  3 Pm 2.88-3.05, 2 Ac 3.07
S: 0.9867 0.7500 0.6044  3 Pm 2.85-3.02

Record 5
# AcPm2S3

A relaxed AcPm2S3 crystal (PBE, the Alexandria database).

The total energy comes out at -75.977 eV/cell. Its energy relative to the elements, uncorrected is -1.999 eV/atom. The calculation puts the density of states at the Fermi level at 2.9 states/eV/f.u.

a b c (Å): 4.1161 5.8619 12.3796
angles (deg): 90.00 90.00 90.00
With the nearest neighbours (Å) after each atom.
Positions (direct):
Ac: 0.0000 0.0000 0.0000  6 S 2.93-3.00
Ac: 0.5000 0.5000 0.5000  6 S 2.93-3.00
Pm: 0.0000 0.0000 0.3354  6 S 2.85-2.93
Pm: 0.0000 0.0000 0.6646  6 S 2.85-2.93
Pm: 0.5000 0.5000 0.1646  6 S 2.85-2.93
Pm: 0.5000 0.5000 0.8354  6 S 2.85-2.93
S: 0.0000 0.5000 0.0000  4 Pm 2.90, 2 Ac 2.93
S: 0.0000 0.5000 0.3241  4 Pm 2.85-2.93, 2 Ac 3.00
S: 0.0000 0.5000 0.6759  4 Pm 2.85-2.93, 2 Ac 3.00
S: 0.5000 0.0000 0.1759  4 Pm 2.85-2.93, 2 Ac 3.00
S: 0.5000 0.0000 0.5000  4 Pm 2.90, 2 Ac 2.93
S: 0.5000 0.0000 0.8241  4 Pm 2.85-2.93, 2 Ac 3.00

Record 6
# Ac4PmS7

A relaxed Ac4PmS7 crystal (PBE, the Alexandria database).

The total energy comes out at -75.558 eV/cell. Its energy relative to the elements, uncorrected is -2.123 eV/atom. The calculation puts the density of states at the Fermi level at 1.7 states/eV/f.u.

a b c (Å): 7.3196 7.3196 12.2638
angles (deg): 104.94 104.94 33.02
With the nearest neighbours (Å) after each atom.
Positions (direct):
Ac: 0.0000 0.0000 0.0000  6 S 2.90-3.04
Ac: 0.1944 0.1944 0.7679  7 S 2.96-3.18
Ac: 0.5896 0.5896 0.3774  7 S 2.98-3.19
Ac: 0.8905 0.8905 0.5677  6 S 2.91-3.00
Pm: 0.7770 0.7770 0.1491  6 S 2.79-2.92
S: 0.1604 0.1604 0.2200  2 Pm 2.92, 3 Ac 3.01-3.17
S: 0.2303 0.2303 0.5223  5 Ac 3.00-3.18
S: 0.3784 0.3784 0.0703  2 Pm 2.83, 2 Ac 2.96
S: 0.5509 0.5509 0.6218  5 Ac 3.00-3.19
S: 0.6310 0.6310 0.9314  1 Pm 2.90, 4 Ac 3.04-3.18
S: 0.8475 0.8475 0.7867  4 Ac 2.90-2.96
S: 0.9321 0.9321 0.3466  1 Pm 2.79, 3 Ac 2.92-2.98

Record 7
# AcPmS

A relaxed AcPmS crystal (PBE, the Alexandria database).

The total energy comes out at -16.564 eV/cell. Its energy relative to the elements, uncorrected is -1.193 eV/atom. The calculation puts the density of states at the Fermi level at 1.5 states/eV/f.u.

a b c (Å): 4.0697 4.0697 6.8707
angles (deg): 90.00 90.00 120.00
With the nearest neighbours (Å) after each atom.
Positions (direct):
Ac: 0.0000 0.0000 0.0000  3 S 3.03
Pm: 0.6667 0.3333 0.4904  3 S 2.84
S: 0.3333 0.6667 0.7222  3 Pm 2.84, 3 Ac 3.03

Record 8
# Ac2Pm2S5

A relaxed Ac2Pm2S5 crystal (PBE, the Alexandria database).

The total energy comes out at -109.616 eV/cell. Its energy relative to the elements, uncorrected is -1.828 eV/atom. The calculation puts the density of states at the Fermi level at 5.7 states/eV/f.u.

a b c (Å): 10.6508 10.6508 10.6508
angles (deg): 61.13 135.59 140.21
With the nearest neighbours (Å) after each atom.
Positions (direct):
Ac: 0.0567 0.1006 0.1573  5 S 2.96-3.19
Ac: 0.0567 0.3994 0.4560  5 S 2.96-3.19
Ac: 0.9433 0.6006 0.5440  5 S 2.96-3.19
Ac: 0.9433 0.8994 0.8427  5 S 2.96-3.19
Pm: 0.3820 0.7306 0.1514  4 S 2.69-2.77
Pm: 0.5226 0.0226 0.5000  6 S 2.74-2.83
Pm: 0.5226 0.5226 0.0000  6 S 2.74-2.83
Pm: 0.5792 0.2306 0.8486  4 S 2.69-2.77
S: 0.0224 0.2685 0.8049  2 Pm 2.74-2.80
S: 0.0224 0.7175 0.2539  2 Pm 2.74-2.80
S: 0.0269 0.3528 0.1741  2 Pm 2.74-2.77, 2 Ac 3.03
S: 0.1787 0.8528 0.8259  2 Pm 2.74-2.77, 2 Ac 3.03
S: 0.4636 0.2175 0.1951  2 Pm 2.74-2.80
S: 0.4636 0.7685 0.7461  2 Pm 2.74-2.80
S: 0.5028 0.2487 0.5417  2 Pm 2.69-2.83, 2 Ac 2.96-2.99
S: 0.5028 0.4610 0.7541  2 Pm 2.69-2.83, 2 Ac 2.96-2.99
S: 0.7070 0.7487 0.2459  2 Pm 2.69-2.83, 2 Ac 2.96-2.99
S: 0.7070 0.9610 0.4583  2 Pm 2.69-2.83, 2 Ac 2.96-2.99